1.
The following is a DFT calculation (PBE-GGA) of a relaxed NdSm2Y crystal.

Cell lengths 3.6289, 3.6289, 35.5188 Å; angles 90.00, 90.00, 120.00 degrees
Space group R-3m (No. 166, hexagonal axes)
Unique sites:
Nd (0.0000, 0.0000, 0.0000) [3 per cell]
Sm (0.0000, 0.0000, 0.2489) [6 per cell]
Y (0.0000, 0.0000, 0.5000) [3 per cell]

Results
**Formation energy**: 0.059 eV/f.u.
**Magnetization**: 0.0 μB/cell
**Relative energy among the computed polymorphs**: 6 meV/atom
**DOS(E_F)**: 16.53 states/eV per cell


2.
The following is a DFT calculation (PBE-GGA) of a relaxed Dy2TiO5 crystal.

Cell lengths 11.8024, 5.2719, 7.5154 Å; angles 90.00, 114.10, 90.00 degrees
Space group C2/c (No. 15)
Unique sites:
Dy (0.1413, 0.0158, 0.2630) [8 per cell]
Ti (0.0000, 0.5000, 0.0000) [4 per cell]
O (0.0000, 0.3369, 0.2500) [4 per cell]
O (0.0735, 0.1848, 0.9617) [8 per cell]
O (0.1678, 0.3466, 0.6380) [8 per cell]

Results
**Magnetization**: 0.0 μB/cell
**Relative energy among the computed polymorphs**: 103 meV/atom
**DOS(E_F)**: 0.00 states/eV per cell


3.
The following is a DFT calculation (PBE-GGA) of a relaxed Te2Pb4Br5 crystal.

Cell lengths 20.5958, 5.3902, 6.3499 Å; angles 90.00, 90.91, 90.00 degrees
Space group C2/m (No. 12)
Unique sites:
Te (0.0709, 0.0000, 0.1095) [4 per cell]
Pb (0.1297, 0.5000, 0.9501) [4 per cell]
Pb (0.1975, 0.0000, 0.3458) [4 per cell]
Br (0.0000, 0.0000, 0.5000) [2 per cell]
Br (0.1301, 0.5000, 0.4838) [4 per cell]
Br (0.2257, 0.0000, 0.8303) [4 per cell]

Results
**Magnetization**: 0.0 μB/cell
**DOS(E_F)**: 6.62 states/eV per cell
**Total DFT energy (no corrections)**: -3.0775 eV per atom


4.
The following is a DFT calculation (PBE-GGA) of a relaxed Tb2ErTm5Mg crystal.

Cell lengths 5.3403, 19.9991, 10.2773 Å; angles 90.00, 90.00, 90.00 degrees
Space group Cmc2_1 (No. 36)
Unique sites:
Tb (0.0000, 0.1152, 0.0000) [4 per cell]
Tb (0.0000, 0.1152, 0.4269) [4 per cell]
Er (0.0000, 0.2066, 0.7133) [4 per cell]
Tm (0.0000, 0.0125, 0.7134) [4 per cell]
Tm (0.0000, 0.2884, 0.0140) [4 per cell]
Tm (0.0000, 0.2889, 0.4124) [4 per cell]
Tm (0.0000, 0.3825, 0.7134) [4 per cell]
Tm (0.0000, 0.4996, 0.4628) [4 per cell]
Mg (0.0000, 0.4044, 0.2120) [4 per cell]

Results
**Formation energy**: 0.987 eV/f.u.
**Magnetization**: 0.0 μB/cell
**DOS(E_F)**: 51.66 states/eV per cell


5.
The following is a DFT calculation (PBE-GGA) of a relaxed La2Sm8Er3 crystal.

Cell lengths 7.7047, 21.1067, 5.5990 Å; angles 90.00, 90.00, 90.00 degrees
Space group Cmmm (No. 65)
Unique sites:
La (0.0000, 0.2404, 0.0000) [4 per cell]
Sm (0.0000, 0.1257, 0.5000) [4 per cell]
Sm (0.0000, 0.3375, 0.5000) [4 per cell]
Sm (0.2070, 0.3971, 0.0000) [8 per cell]
Er (0.0000, 0.0000, 0.0000) [2 per cell]
Er (0.2133, 0.5000, 0.5000) [4 per cell]

Results
**Formation energy**: 2.793 eV/f.u.
**Magnetization**: 0.0 μB/cell
**DOS(E_F)**: 42.82 states/eV per cell


6.
The following is a DFT calculation (PBE-GGA) of a relaxed ZrTi2Fe2 crystal.

Cell lengths 7.3882, 7.3882, 2.7635 Å; angles 90.00, 90.00, 90.00 degrees
Space group P4/mbm (No. 127)
Unique sites:
Zr (0.0000, 0.0000, 0.0000) [2 per cell]
Ti (0.1391, 0.3609, 0.0000) [4 per cell]
Fe (0.1576, 0.6576, 0.5000) [4 per cell]

Results
**Formation energy**: -0.053 eV/f.u.
**Magnetization**: 1.6 μB/cell
**Relative energy among the computed polymorphs**: 84 meV/atom
**DOS(E_F)**: 14.61 states/eV per cell


7.
The following is a DFT calculation (PBE-GGA) of a relaxed Ta2AlTl crystal.

Cell lengths 2.9707, 2.9707, 8.4569 Å; angles 90.00, 90.00, 90.00 degrees
Space group P4/mmm (No. 123)
Unique sites:
Ta (0.0000, 0.0000, 0.2242) [2 per cell]
Al (0.5000, 0.5000, 0.0000) [1 per cell]
Tl (0.5000, 0.5000, 0.5000) [1 per cell]

Results
**Formation energy**: 0.878 eV/f.u.
**Magnetization**: 0.0 μB/cell
**DOS(E_F)**: 1.63 states/eV per cell


8.
The following is a DFT calculation (PBE-GGA) of a relaxed KGaGe2 crystal.

Cell lengths 4.2882, 4.2882, 20.1864 Å; angles 90.00, 90.00, 120.00 degrees
Space group R-3m (No. 166, hexagonal axes)
Unique sites:
K (0.0000, 0.0000, 0.0000) [3 per cell]
Ga (0.0000, 0.0000, 0.5000) [3 per cell]
Ge (0.0000, 0.0000, 0.2138) [6 per cell]

Results
**Formation energy**: 0.149 eV/f.u.
**Magnetization**: 0.0 μB/cell
**DOS(E_F)**: 3.81 states/eV per cell


9.
The following is a DFT calculation (PBE-GGA) of a relaxed CdSbTe2W crystal.

Cell lengths 5.3209, 5.3209, 5.3884 Å; angles 90.00, 90.00, 90.00 degrees
Space group P4/mmm (No. 123)
Unique sites:
Cd (0.0000, 0.0000, 0.0000) [1 per cell]
Sb (0.5000, 0.5000, 0.0000) [1 per cell]
Te (0.0000, 0.5000, 0.5000) [2 per cell]
W (0.5000, 0.5000, 0.5000) [1 per cell]

Results
**Magnetization**: 0.0 μB/cell
**Relative energy among the computed polymorphs**: 0 meV/atom
**DOS(E_F)**: 4.30 states/eV per cell


10.
The following is a DFT calculation (PBE-GGA) of a relaxed Dy3ThO crystal.

Cell lengths 4.9552, 4.9552, 4.9552 Å; angles 90.00, 90.00, 90.00 degrees
Space group Pm-3m (No. 221)
Unique sites:
Dy (0.0000, 0.0000, 0.5000) [3 per cell]
Th (0.5000, 0.5000, 0.5000) [1 per cell]
O (0.0000, 0.0000, 0.0000) [1 per cell]

Results
**Magnetization**: 0.0 μB/cell
**DOS(E_F)**: 3.36 states/eV per cell
**Total DFT energy (no corrections)**: -6.2828 eV per atom